Here is an optimized crystal structure of TlCr2Se from Alexandria. Energies are from PBE-GGA.

```
TlCr2Se
1.0
-0.3807 -4.8828 1.3900
4.0080 -0.5888 3.0835
-3.6059 3.5849 0.2549
Se Cr Tl
1 2 1
Direct
0.2500 0.7500 0.5000
0.5000 0.5000 0.0000
0.0000 0.0000 0.0000
0.7500 0.2500 0.5000
```

As for the raw formation energy: 0.524 eV per atom. For the density of states at the Fermi level, the calculation gives 3.8 states/eV per cell. The energy above the most stable polymorph in this dataset is 326.2 meV/atom. The space group is I4/mmm (139).

---

Here is an optimized crystal structure of TlCrSe from Alexandria. Energies are from PBE-GGA.

```
TlCrSe
1.0
-1.8962 3.6436 -1.2970
-2.1487 -3.7288 -0.1812
-1.7135 0.7617 4.6449
Tl Cr Se
1 1 1
Direct
0.6667 0.3333 0.6666
0.0000 0.0000 0.1663
0.3333 0.6667 0.1670
```

As for the raw formation energy: -0.011 eV per atom. For the density of states at the Fermi level, the calculation gives 1.4 states/eV per cell. The energy above the most stable polymorph in this dataset is 139.4 meV/atom. The space group is P-6m2 (187).

---

Here is an optimized crystal structure of TlCrSe2 from Alexandria. Energies are from PBE-GGA.

```
TlCrSe2
1.0
-8.1827 -1.4843 0.0963
-5.9414 -5.5367 1.7925
6.8656 4.5098 1.3014
Se Tl Cr
2 1 1
Direct
0.0821 0.0821 0.0000
0.7643 0.2643 0.5000
0.4546 0.4546 0.0000
0.1990 0.6990 0.5000
```

As for the raw formation energy: -0.263 eV per atom. For the density of states at the Fermi level, the calculation gives 1.5 states/eV per cell. The space group is Imm2 (44).

---

Here is an optimized crystal structure of TlCrSe from Alexandria. Energies are from PBE-GGA.

```
TlCrSe
1.0
-2.8466 0.5056 -2.4536
0.2091 -3.1967 2.0288
-3.2735 2.5267 4.3185
Tl Se Cr
1 1 1
Direct
0.6667 0.3333 0.6960
0.3333 0.6667 0.2470
0.0000 0.0000 0.0570
```

As for the raw formation energy: 0.020 eV per atom. For the density of states at the Fermi level, the calculation gives 1.8 states/eV per cell. The energy above the most stable polymorph in this dataset is 170.6 meV/atom. The space group is P3m1 (156).

---

Here is an optimized crystal structure of TlCr2Se from Alexandria. Energies are from PBE-GGA.

```
TlCr2Se
1.0
-3.2378 -3.4059 -0.3740
3.3550 -3.2579 0.5945
-0.5178 0.1088 3.5084
Cr Tl Se
2 1 1
Direct
0.0000 0.0000 0.0000
0.5000 0.5000 0.0000
0.0000 0.5000 0.5000
0.5000 0.0000 0.5000
```

As for the raw formation energy: 0.471 eV per atom. For the density of states at the Fermi level, the calculation gives 2.1 states/eV per cell. The energy above the most stable polymorph in this dataset is 272.3 meV/atom. The space group is P4/mmm (123).

---

Here is an optimized crystal structure of TlCrSe2 from Alexandria. Energies are from PBE-GGA.

```
TlCrSe2
1.0
-2.4087 4.2850 -0.9993
-3.4621 1.7336 3.1890
0.9371 4.1002 2.7334
Se Cr Tl
2 1 1
Direct
0.2500 0.2500 0.2500
0.0000 0.0000 0.0000
0.5000 0.5000 0.5000
0.7500 0.7500 0.7500
```

As for the raw formation energy: 0.418 eV per atom. For the density of states at the Fermi level, the calculation gives 3.2 states/eV per cell. The space group is F-43m (216).

---

Here is an optimized crystal structure of TlCr2Se from Alexandria. Energies are from PBE-GGA.

```
TlCr2Se
1.0
4.4663 -0.0788 0.1436
3.2382 3.0771 0.1436
1.2926 0.5030 6.2363
Se Cr Tl
1 2 1
Direct
0.4898 0.4898 0.6176
0.7399 0.7399 0.7871
0.0155 0.0155 0.9013
0.2548 0.2548 0.1940
```

As for the raw formation energy: 0.279 eV per atom. For the density of states at the Fermi level, the calculation gives 2.8 states/eV per cell. The energy above the most stable polymorph in this dataset is 81.0 meV/atom. The space group is Cm (8).

---

Here is an optimized crystal structure of TlCrSe2 from Alexandria. Energies are from PBE-GGA.

```
TlCrSe2
1.0
3.4158 0.0007 0.0000
-0.0008 3.4158 0.0000
0.0000 0.0000 9.2236
Tl Cr Se
1 1 2
Direct
0.0000 0.0000 0.4775
0.5000 0.5000 0.8403
0.5000 0.5000 0.2623
0.0000 0.0000 0.9199
```

As for the raw formation energy: 0.024 eV per atom. For the density of states at the Fermi level, the calculation gives 1.6 states/eV per cell. The space group is P4mm (99).

---

| no. | electronic total energy (eV per formula unit) |
| --- | --- |
| 1 | -23.000 |
| 2 | -15.507 |
| 3 | -20.009 |
| 4 | -15.413 |
| 5 | -23.215 |
| 6 | -17.286 |
| 7 | -23.980 |
| 8 | -18.865 |